Compound: BaGe2Se
Source: Alexandria via LeMat-Bulk
Functional: PBE
Structure: optimized geometry

abc: 8.6612 8.6612 6.2016
angles: 90.00 90.00 90.00
Sites, in units of the cell vectors:
Ba 0.0000 0.0000 0.0000
Ba 0.0000 0.5000 0.2500
Ba 0.5000 0.0000 0.7500
Ba 0.5000 0.5000 0.5000
Ge 0.1966 0.2500 0.6250
Ge 0.2500 0.6966 0.8750
Ge 0.2500 0.8034 0.3750
Ge 0.3034 0.2500 0.1250
Ge 0.6966 0.7500 0.1250
Ge 0.7500 0.1966 0.3750
Ge 0.7500 0.3034 0.8750
Ge 0.8034 0.7500 0.6250
Se 0.0000 0.0000 0.5000
Se 0.0000 0.5000 0.7500
Se 0.5000 0.0000 0.2500
Se 0.5000 0.5000 0.0000

E_tot = -61.90 eV/cell